No. 1
Compound: KMgAl2
Source: Alexandria
Functional: PBE-GGA
Structure: relaxed

The space group is C2/m (No. 12) and the conventional cell measures 9.4945, 3.1041 and 7.5631 Å, with angles of 90.00, 95.69 and 90.00 degrees. The distinct sites, in fractional coordinates, are K at (0.0000, 0.0000, 0.0000), Mg at (0.0000, 0.5000, 0.5000) and Al at (0.2393, 0.0000, 0.6594).

The value obtained for the density of states at the Fermi level is 0.52 states/eV/atom. The value obtained for the total magnetization is 0.00 μB per formula unit. The value obtained for the formation energy is 0.22 eV per atom.

=====

No. 2
Compound: KMgAl2
Source: Alexandria
Functional: PBE-GGA
Structure: relaxed

The space group is Immm (No. 71) and the conventional cell measures 3.1779, 5.7628 and 11.1492 Å, with angles of 90.00, 90.00 and 90.00 degrees. The distinct sites, in fractional coordinates, are K at (0.0000, 0.0000, 0.0000), Mg at (0.0000, 0.0000, 0.5000) and Al at (0.0000, 0.5000, 0.2228).

The value obtained for the density of states at the Fermi level is 0.48 states/eV/atom. The value obtained for the total magnetization is 0.00 μB per formula unit. The value obtained for the formation energy is 0.39 eV per atom.

=====

No. 3
Compound: KMgAl2
Source: Alexandria
Functional: PBE-GGA
Structure: relaxed

The space group is P4/mmm (No. 123) and the conventional cell measures 3.1516, 3.1516 and 9.7275 Å, with angles of 90.00, 90.00 and 90.00 degrees. The distinct sites, in fractional coordinates, are K at (0.0000, 0.0000, 0.0000), Mg at (0.0000, 0.0000, 0.5000) and Al at (0.5000, 0.5000, 0.2919).

The value obtained for the density of states at the Fermi level is 0.43 states/eV/atom. The value obtained for the total magnetization is 0.00 μB per formula unit. The value obtained for the formation energy is 0.20 eV per atom.